# 1
Entry from the Alexandria database: an optimized crystal structure of CeDy2Mg (PBE-GGA).

Cell lengths 4.8494, 4.9145, 4.9145 Å; angles 90.00, 90.00, 90.00 degrees
Atoms (fractional coordinates):
Mg (0.5000, 0.0000, 0.0000)
Ce (0.5000, 0.5000, 0.5000)
Dy (0.0000, 0.0000, 0.5000)
Dy (0.0000, 0.5000, 0.0000)

- Space group: No. 123
- Energy of formation from the pure elements: 0.077 eV/atom

***

# 2
Entry from the Alexandria database: an optimized crystal structure of AlNi2Te (PBE-GGA).

Cell lengths 3.1362, 3.1358, 6.1582 Å; angles 90.00, 90.00, 90.00 degrees
Atoms (fractional coordinates):
Ni (0.0000, 0.0000, 0.9570)
Ni (0.0000, 0.0000, 0.5430)
Te (0.5000, 0.5000, 0.2500)
Al (0.5000, 0.5000, 0.7500)

- Space group: No. 123
- E_form (uncorrected): -105.1 meV/atom

***

# 3
Entry from the Alexandria database: an optimized crystal structure of V3GeTe (PBE-GGA).

Cell lengths 4.7562, 4.7562, 4.7562 Å; angles 90.00, 90.00, 90.00 degrees
Atoms (fractional coordinates):
Ge (0.0000, 0.0000, 0.0000)
Te (0.5000, 0.5000, 0.5000)
V (0.0000, 0.5000, 0.0000)
V (0.0000, 0.0000, 0.5000)
V (0.5000, 0.0000, 0.0000)

- Space group: No. 221
- E_form (uncorrected): 689.7 meV/atom

***

# 4
Entry from the Alexandria database: an optimized crystal structure of CeDy7Tm4 (PBE-GGA).

Cell lengths 5.9007, 6.8622, 11.5467 Å; angles 72.70, 59.29, 90.00 degrees
Atoms (fractional coordinates):
Ce (0.0000, 0.0000, 0.0000)
Dy (0.8276, 0.5391, 0.9226)
Dy (0.1724, 0.4609, 0.0774)
Dy (0.1214, 0.1871, 0.6256)
Dy (0.8786, 0.8129, 0.3744)
Dy (0.1830, 0.7132, 0.5735)
Dy (0.5000, 0.0000, 0.0000)
Dy (0.8170, 0.2868, 0.4265)
Tm (0.4743, 0.5954, 0.2736)
Tm (0.5257, 0.4046, 0.7264)
Tm (0.5259, 0.8691, 0.7264)
Tm (0.4741, 0.1309, 0.2736)

- Space group: No. 12
- Energy of formation from the pure elements: 0.147 eV/atom

***

# 5
Entry from the Alexandria database: an optimized crystal structure of InSi3S (PBE-GGA).

Cell lengths 4.6825, 4.6825, 4.6825 Å; angles 90.00, 90.00, 90.00 degrees
Atoms (fractional coordinates):
S (0.0000, 0.0000, 0.0000)
Si (0.0000, 0.5000, 0.0000)
Si (0.0000, 0.0000, 0.5000)
Si (0.5000, 0.0000, 0.0000)
In (0.5000, 0.5000, 0.5000)

- Space group: No. 221
- E_form (uncorrected): 737.3 meV/atom

***

# 6
Entry from the Alexandria database: an optimized crystal structure of Sc4AlRu (PBE-GGA).

Cell lengths 5.5196, 5.5196, 5.5196 Å; angles 60.00, 60.00, 60.00 degrees
Atoms (fractional coordinates):
Sc (0.8796, 0.3735, 0.3735)
Sc (0.3735, 0.3735, 0.8796)
Sc (0.3735, 0.8796, 0.3735)
Sc (0.3735, 0.3735, 0.3735)
Al (0.7500, 0.7500, 0.7500)
Ru (0.0000, 0.0000, 0.0000)

- Space group: No. 216
- Energy of formation from the pure elements: 0.329 eV/atom

***

Going through the records in order, we get density of states at the Fermi level values of 7.95 1.47 5.25 22.55 2.07 7.44 states/eV per cell.
Going through the records in order, we get DFT total energy values of -4.106 -4.717 -6.333 -4.522 -3.890 -6.062 eV/atom.